(1)
Below is a geometry-optimized Tb2SnAs structure, with properties calculated at the PBE level.

Structure (extended XYZ):
```
16
Lattice="4.345 0.000 0.000 0.000 23.226 0.000 0.000 0.000 4.227" Properties=species:S:1:pos:R:3 pbc="T T T"
Tb 0.000 1.580 1.057
Tb 0.000 7.231 1.057
Tb 0.000 15.995 3.171
Tb 0.000 21.646 3.171
Tb 2.172 4.382 3.171
Tb 2.172 10.033 3.171
Tb 2.172 13.192 1.057
Tb 2.172 18.844 1.057
Sn 0.000 10.530 1.057
Sn 0.000 12.696 3.171
Sn 2.172 1.083 3.171
Sn 2.172 22.142 1.057
As 0.000 4.387 1.057
As 0.000 18.839 3.171
As 2.172 7.226 3.171
As 2.172 16.000 1.057
```

Computed properties:
- Space-group type: Cmcm, No. 63
- Calculated total energy: -89.57 eV/cell
- Relative energy among the computed polymorphs: 0 kJ/mol of formula units
- Formation energy from the elements: -1120 meV per atom


(2)
Below is a geometry-optimized Tb2SnAs structure, with properties calculated at the PBE level.

Structure (extended XYZ):
```
12
Lattice="4.506 0.000 0.000 -2.253 3.903 0.000 0.000 0.000 26.174" Properties=species:S:1:pos:R:3 pbc="T T T"
Tb 0.000 0.000 2.730
Tb 0.000 0.000 23.444
Tb 0.000 2.602 14.720
Tb 0.000 2.602 20.179
Tb 2.253 1.301 5.995
Tb 2.253 1.301 11.455
Sn 0.000 0.000 13.087
Sn 0.000 2.602 4.362
Sn 2.253 1.301 21.812
As 0.000 0.000 0.000
As 0.000 2.602 17.450
As 2.253 1.301 8.725
```

Computed properties:
- Space-group type: R-3m, No. 166
- Calculated total energy: -55.43 eV/cell
- Relative energy among the computed polymorphs: 378 kJ/mol of formula units
- Formation energy from the elements: -141 meV per atom


(3)
Below is a geometry-optimized Tb12Sn3As5 structure, with properties calculated at the PBE level.

Structure (extended XYZ):
```
80
Lattice="-8.606 8.606 8.606 8.606 -8.606 8.606 8.606 8.606 -8.606" Properties=species:S:1:pos:R:3 pbc="T T T"
Tb 2.595 -0.372 1.132
Tb 10.314 5.435 -4.675
Tb 8.234 -1.132 2.595
Tb 13.281 -1.708 3.171
Tb 11.201 0.372 1.132
Tb 10.314 -3.171 4.675
Tb 1.132 2.595 -0.372
Tb 11.776 3.931 -1.708
Tb 5.435 4.675 -1.708
Tb 7.474 2.595 0.372
Tb -0.372 1.132 2.595
Tb 4.675 -1.708 5.435
Tb 8.234 7.474 -2.595
Tb 4.675 1.708 3.171
Tb 7.474 -2.595 8.234
Tb 5.435 -4.675 10.314
Tb 3.171 4.675 1.708
Tb 9.738 6.011 0.372
Tb 2.595 8.234 -1.132
Tb 10.314 3.171 3.931
Tb 4.675 10.314 -3.171
Tb 8.234 1.132 6.011
Tb 1.708 3.171 4.675
Tb 2.595 0.372 7.474
Tb 6.011 8.234 1.132
Tb 6.898 5.435 3.931
Tb 0.372 7.474 2.595
Tb 3.931 -1.708 11.776
Tb -1.708 5.435 4.675
Tb 6.011 0.372 9.738
Tb -1.132 2.595 8.234
Tb 5.435 3.931 6.898
Tb 3.171 13.281 -1.708
Tb 1.132 11.201 0.372
Tb 3.931 6.898 5.435
Tb 0.372 1.132 11.201
Tb 3.931 10.314 3.171
Tb 8.978 7.474 6.011
Tb 1.132 6.011 8.234
Tb 3.171 3.931 10.314
Tb -3.171 4.675 10.314
Tb 7.474 6.011 8.978
Tb -1.708 11.776 3.931
Tb -2.595 8.234 7.474
Tb -4.675 10.314 5.435
Tb 0.372 9.738 6.011
Tb -1.708 3.171 13.281
Tb 6.011 8.978 7.474
Sn 4.303 2.151 0.000
Sn 8.606 4.303 -2.151
Sn 2.151 0.000 4.303
Sn 10.757 0.000 4.303
Sn 0.000 4.303 2.151
Sn 4.303 -2.151 8.606
Sn 4.303 10.757 0.000
Sn 8.606 4.303 6.454
Sn -2.151 8.606 4.303
Sn 6.454 8.606 4.303
Sn 0.000 4.303 10.757
Sn 4.303 6.454 8.606
As 0.000 0.000 0.000
As 4.303 4.303 -4.303
As 4.303 -4.303 4.303
As 8.606 0.000 0.000
As 12.909 2.151 0.000
As 8.606 -4.303 6.454
As 6.454 8.606 -4.303
As 6.454 0.000 4.303
As 4.303 6.454 0.000
As 8.606 4.303 2.151
As -4.303 4.303 4.303
As 0.000 8.606 0.000
As 0.000 0.000 8.606
As 4.303 4.303 4.303
As 0.000 4.303 6.454
As 4.303 2.151 8.606
As 2.151 8.606 4.303
As 2.151 0.000 12.909
As 0.000 12.909 2.151
As -4.303 6.454 8.606
```

Computed properties:
- Space-group type: Ia-3d, No. 230
- Calculated total energy: -418.07 eV/cell
- Formation energy from the elements: -685 meV per atom